1.
An optimized crystal structure of GdDyMnHg, computed with PBE-GGA.

```
4
Lattice="5.188 0.000 0.000 2.594 4.493 0.000 2.594 1.498 4.236" Properties=species:S:1:pos:R:3 pbc="T T T"
Gd 7.782 4.493 3.177
Hg 5.188 2.995 2.118
Mn 0.000 0.000 0.000
Dy 2.594 1.498 1.059
```

Output
Energy of formation in eV/atom: -0.0566
Spin magnetization in μB/f.u.: 10.592
Electronic total energy in eV/atom: -7.10

***

2.
An optimized crystal structure of NaGdDyHg, computed with PBE-GGA.

```
4
Lattice="-3.110 3.461 2.670 0.741 0.768 5.258 2.049 4.631 1.772" Properties=species:S:1:pos:R:3 pbc="T T T"
Na -0.240 6.645 7.275
Gd 0.000 0.000 0.000
Hg -0.080 2.215 2.425
Dy -0.160 4.430 4.850
```

Output
Energy of formation in eV/atom: -0.0653
Spin magnetization in μB/f.u.: 7.908
Electronic total energy in eV/atom: -5.14

***

3.
An optimized crystal structure of GdDyNiHg, computed with PBE-GGA.

```
4
Lattice="-1.571 1.886 -4.442 -4.531 -1.329 -1.861 -3.783 3.381 -0.125" Properties=species:S:1:pos:R:3 pbc="T T T"
Ni -2.471 0.985 -1.607
Gd -4.943 1.969 -3.214
Hg -7.414 2.954 -4.821
Dy 0.000 0.000 0.000
```

Output
Energy of formation in eV/atom: -0.3465
Spin magnetization in μB/f.u.: 7.105
Electronic total energy in eV/atom: -6.54

***

4.
An optimized crystal structure of GdDyHgOs, computed with PBE-GGA.

```
4
Lattice="5.038 0.000 0.000 2.519 4.363 0.000 2.519 1.454 4.114" Properties=species:S:1:pos:R:3 pbc="T T T"
Gd 5.038 2.909 2.057
Os 2.519 1.454 1.028
Hg 7.557 4.363 3.085
Dy 0.000 0.000 0.000
```

Output
Energy of formation in eV/atom: -0.2393
Spin magnetization in μB/f.u.: 7.084
Electronic total energy in eV/atom: -7.79

***

5.
An optimized crystal structure of GdDyHgPb, computed with PBE-GGA.

```
4
Lattice="5.366 0.000 0.000 2.683 4.647 0.000 2.683 1.549 4.382" Properties=species:S:1:pos:R:3 pbc="T T T"
Pb 2.683 1.549 1.095
Gd 5.366 3.098 2.191
Hg 8.050 4.647 3.286
Dy 0.000 0.000 0.000
```

Output
Energy of formation in eV/atom: -0.4767
Spin magnetization in μB/f.u.: 7.579
Electronic total energy in eV/atom: -6.15

***

6.
An optimized crystal structure of GdDyHgPd, computed with PBE-GGA.

```
4
Lattice="5.137 0.000 0.000 2.568 4.449 0.000 2.568 1.483 4.194" Properties=species:S:1:pos:R:3 pbc="T T T"
Gd 7.705 4.449 3.146
Hg 0.000 0.000 0.000
Pd 5.137 2.966 2.097
Dy 2.568 1.483 1.049
```

Output
Energy of formation in eV/atom: -0.6364
Spin magnetization in μB/f.u.: 7.091
Electronic total energy in eV/atom: -6.68